# AcErZn2Ge2

A relaxed AcErZn2Ge2 crystal (PBE, the Alexandria database).

```
AcErZn2Ge2
1.0
4.260 0.000 0.000
-2.130 3.689 0.000
0.000 0.000 8.614
Ac Er Zn Ge
1 1 2 2
Cartesian
0.000 0.000 0.000
0.000 0.000 4.307
2.130 1.230 2.316
0.000 2.459 6.299
2.130 1.230 6.207
0.000 2.459 2.407
```

DFT formation energy	-608	meV per atom
symmetry	P-3m1, No. 164
Fermi-level density of states	3.64	states/eV per cell
density	8.22	g/cm³